Arrangement one

Material: LiSiAu4
Method: DFT, PBE
State: relaxed

Results
Space group   C2/c (15)
N(E_F)   1.57 states/eV/f.u.

Cell lengths 5.6012, 5.6011, 7.7983 Å; angles 104.81, 104.81, 105.16 degrees
Element x y z (fractional)
Li 0.8754 0.6244 0.7500
Li 0.1246 0.3756 0.2500
Si 0.3741 0.1255 0.7500
Si 0.6259 0.8745 0.2500
Au 0.4841 0.7597 0.5429
Au 0.7403 0.0160 0.9572
Au 0.9451 0.7204 0.4575
Au 0.7796 0.5550 0.0426
Au 0.5159 0.2403 0.4571
Au 0.0549 0.2796 0.5425
Au 0.2597 0.9840 0.0428
Au 0.2204 0.4450 0.9574

***

Arrangement two

Material: LiSiAu4
Method: DFT, PBE
State: relaxed

Results
Space group   F-43m (216)
N(E_F)   4.98 states/eV/f.u.

Cell lengths 5.5001, 5.5001, 5.5001 Å; angles 60.00, 60.00, 60.00 degrees
Element x y z (fractional)
Li 0.7500 0.7500 0.7500
Si 0.0000 0.0000 0.0000
Au 0.8746 0.3751 0.3751
Au 0.3751 0.3751 0.8746
Au 0.3751 0.8746 0.3751
Au 0.3751 0.3751 0.3751

***

Arrangement three

Material: LiSiAu4
Method: DFT, PBE
State: relaxed

Results
Space group   P-1 (2)
N(E_F)   2.03 states/eV/f.u.

Cell lengths 4.8311, 6.6547, 7.3451 Å; angles 99.51, 109.07, 90.27 degrees
Element x y z (fractional)
Li 0.8750 0.7494 0.0009
Li 0.1250 0.2506 0.9991
Si 0.5000 0.0000 0.5000
Si 0.0000 0.5000 0.5000
Au 0.5585 0.0727 0.8528
Au 0.7043 0.4249 0.1463
Au 0.4415 0.9273 0.1472
Au 0.2957 0.5751 0.8537
Au 0.9814 0.8763 0.6525
Au 0.3292 0.6214 0.3450
Au 0.0186 0.1237 0.3475
Au 0.6708 0.3786 0.6550

***

The energy of each structure relative to the most stable one, in meV/atom, is as follows: arrangement one 30; arrangement two 260; arrangement three 0.

***

Arrangement one

Material: Li3SiAu
Method: DFT, PBE
State: relaxed

Results
Space group   Pm-3m (221)
N(E_F)   2.13 states/eV/f.u.

Cell lengths 4.7088, 4.7088, 4.7088 Å; angles 90.00, 90.00, 90.00 degrees
Element x y z (fractional)
Si 0.5000 0.5000 0.5000
Au 0.0000 0.0000 0.0000
Li 0.0000 0.5000 0.0000
Li 0.0000 0.0000 0.5000
Li 0.5000 0.0000 0.0000

***

Arrangement two

Material: Li3SiAu
Method: DFT, PBE
State: relaxed

Results
Space group   P2_1/m (11)
N(E_F)   1.59 states/eV/f.u.

Cell lengths 3.9125, 5.9266, 6.3475 Å; angles 86.34, 90.00, 90.00 degrees
Element x y z (fractional)
Li 0.6244 0.7857 0.5874
Li 0.6244 0.0186 0.1581
Li 0.1244 0.5047 0.6613
Li 0.1244 0.3127 0.0599
Li 0.1244 0.0798 0.4892
Li 0.6244 0.5938 0.9859
Si 0.6244 0.4142 0.3683
Si 0.1244 0.6842 0.2790
Au 0.6244 0.2183 0.7439
Au 0.1244 0.8802 0.9033

***

Arrangement three

Material: Li3SiAu
Method: DFT, PBE
State: relaxed

Results
Space group   Pm-3m (221)
N(E_F)   2.11 states/eV/f.u.

Cell lengths 4.6939, 4.6939, 4.6939 Å; angles 90.00, 90.00, 90.00 degrees
Element x y z (fractional)
Si 0.0000 0.0000 0.0000
Au 0.5000 0.5000 0.5000
Li 0.0000 0.5000 0.0000
Li 0.0000 0.0000 0.5000
Li 0.5000 0.0000 0.0000

***

The energy of each structure relative to the most stable one, in meV/atom, is as follows: arrangement one 531; arrangement two 0; arrangement three 618.

***

Arrangement one

Material: Li2SiAu6
Method: DFT, PBE
State: relaxed

Results
Space group   C2/m (12)
N(E_F)   1.99 states/eV/f.u.

Cell lengths 6.8545, 5.7230, 8.8888 Å; angles 90.00, 76.13, 90.00 degrees
Element x y z (fractional)
Li 0.9133 0.5000 0.7065
Li 0.5867 0.0000 0.7935
Li 0.4133 0.0000 0.2065
Li 0.0867 0.5000 0.2935
Si 0.5000 0.5000 0.0000
Si 0.0000 0.0000 0.5000
Au 0.9674 0.0000 0.2314
Au 0.7159 0.7468 0.4857
Au 0.7840 0.7533 0.0143
Au 0.7160 0.2533 0.4857
Au 0.7841 0.2468 0.0143
Au 0.5326 0.5000 0.2686
Au 0.0326 0.0000 0.7686
Au 0.2841 0.2532 0.5143
Au 0.2160 0.2467 0.9857
Au 0.2840 0.7467 0.5143
Au 0.2159 0.7532 0.9857
Au 0.4674 0.5000 0.7314

***

Arrangement two

Material: Li2SiAu6
Method: DFT, PBE
State: relaxed

Results
Space group   P4_2/mnm (136)
N(E_F)   2.80 states/eV/f.u.

Cell lengths 5.4032, 5.4032, 12.4309 Å; angles 90.00, 90.00, 90.00 degrees
Element x y z (fractional)
Li 0.5000 0.5000 0.3281
Li 0.5000 0.5000 0.6719
Li 0.0000 0.0000 0.1719
Li 0.0000 0.0000 0.8281
Si 0.5000 0.5000 0.0000
Si 0.0000 0.0000 0.5000
Au 0.6867 0.6867 0.1602
Au 0.6867 0.6867 0.8398
Au 0.6809 0.6809 0.5000
Au 0.8191 0.1809 0.0000
Au 0.8133 0.1867 0.3398
Au 0.8133 0.1867 0.6602
Au 0.1867 0.8133 0.3398
Au 0.1867 0.8133 0.6602
Au 0.1809 0.8191 0.0000
Au 0.3191 0.3191 0.5000
Au 0.3133 0.3133 0.1602
Au 0.3133 0.3133 0.8398

***

The energy of each structure relative to the most stable one, in meV/atom, is as follows: arrangement one 0; arrangement two 413.

***

Arrangement one

Material: Li3Si2Au4
Method: DFT, PBE
State: relaxed

Results
Space group   P-3m1 (164)
N(E_F)   2.47 states/eV/f.u.

Cell lengths 4.3879, 4.3882, 8.3161 Å; angles 89.98, 90.00, 60.00 degrees
Element x y z (fractional)
Li 0.3334 0.3332 0.4515
Li 0.0000 0.0000 0.0000
Li 0.6666 0.6668 0.5485
Si 0.3332 0.3335 0.7896
Si 0.6667 0.6665 0.2104
Au 0.6666 0.6669 0.8792
Au 0.0002 0.9996 0.3319
Au 0.9998 0.0004 0.6681
Au 0.3334 0.3331 0.1208

***

Arrangement two

Material: Li3Si2Au4
Method: DFT, PBE
State: relaxed

Results
Space group   C2/m (12)
N(E_F)   1.85 states/eV/f.u.

Cell lengths 4.4572, 5.3586, 8.1332 Å; angles 121.63, 90.00, 114.58 degrees
Element x y z (fractional)
Li 0.6638 0.3277 0.6680
Li 0.0000 0.0000 0.0000
Li 0.3362 0.6723 0.3320
Si 0.5969 0.1938 0.2757
Si 0.4031 0.8062 0.7243
Au 0.7040 0.4080 0.0655
Au 0.2960 0.5920 0.9345
Au 0.9311 0.8622 0.6145
Au 0.0689 0.1378 0.3855

***

The energy of each structure relative to the most stable one, in meV/atom, is as follows: arrangement one 43; arrangement two 0.

***

Arrangement one

Material: Li2SmAu
Method: DFT, PBE
State: relaxed

Results
Space group   Cmcm (63)
N(E_F)   3.16 states/eV/f.u.

Cell lengths 4.1314, 5.5603, 8.2085 Å; angles 90.00, 90.00, 111.75 degrees
Element x y z (fractional)
Li 0.3429 0.6850 0.0533
Li 0.3429 0.6850 0.4467
Li 0.6571 0.3150 0.9467
Li 0.6571 0.3150 0.5533
Sm 0.0580 0.1162 0.2500
Sm 0.9420 0.8838 0.7500
Au 0.7690 0.5382 0.2500
Au 0.2310 0.4618 0.7500

***

Arrangement two

Material: Li2SmAu
Method: DFT, PBE
State: relaxed

Results
Space group   C2/c (15)
N(E_F)   2.94 states/eV/f.u.

Cell lengths 5.6817, 5.5363, 6.8206 Å; angles 81.40, 65.39, 68.97 degrees
Element x y z (fractional)
Li 0.2386 0.6085 0.1683
Li 0.5930 0.8915 0.1683
Li 0.7614 0.3915 0.8317
Li 0.4070 0.1085 0.8317
Sm 0.8447 0.2500 0.3105
Sm 0.1553 0.7500 0.6895
Au 0.2578 0.2500 0.4845
Au 0.7422 0.7500 0.5155

***

Arrangement three

Material: Li2SmAu
Method: DFT, PBE
State: relaxed

Results
Space group   Fm-3m (225)
N(E_F)   5.03 states/eV/f.u.

Cell lengths 4.7561, 4.7561, 4.7561 Å; angles 60.00, 60.00, 60.00 degrees
Element x y z (fractional)
Au 0.5000 0.5000 0.5000
Sm 0.0000 0.0000 0.0000
Li 0.2500 0.2500 0.2500
Li 0.7500 0.7500 0.7500

***

Arrangement four

Material: Li2SmAu
Method: DFT, PBE
State: relaxed

Results
Space group   P4/mmm (123)
N(E_F)   2.19 states/eV/f.u.

Cell lengths 3.3904, 3.3904, 7.0772 Å; angles 90.00, 90.00, 90.00 degrees
Element x y z (fractional)
Au 0.5000 0.5000 0.0000
Sm 0.5000 0.5000 0.5000
Li 0.0000 0.0000 0.8221
Li 0.0000 0.0000 0.1779

***

The energy of each structure relative to the most stable one, in meV/atom, is as follows: arrangement one 0; arrangement two 61; arrangement three 155; arrangement four 168.

***

Arrangement one

Material: Li2Sm3Au4
Method: DFT, PBE
State: relaxed

Results
Space group   C2/m (12)
N(E_F)   6.50 states/eV/f.u.

Cell lengths 4.8316, 5.4525, 8.7896 Å; angles 104.78, 90.00, 116.30 degrees
Element x y z (fractional)
Li 0.7030 0.4060 0.3747
Li 0.2970 0.5940 0.6253
Sm 0.6323 0.2647 0.7138
Sm 0.0000 0.0000 0.0000
Sm 0.3677 0.7353 0.2862
Au 0.7122 0.4243 0.0799
Au 0.2878 0.5757 0.9201
Au 0.9249 0.8498 0.6274
Au 0.0751 0.1502 0.3726

***

Arrangement two

Material: Li2Sm3Au4
Method: DFT, PBE
State: relaxed

Results
Space group   C2/m (12)
N(E_F)   5.07 states/eV/f.u.

Cell lengths 4.2451, 6.4491, 8.3705 Å; angles 73.65, 75.31, 70.78 degrees
Element x y z (fractional)
Li 0.3313 0.9962 0.3412
Li 0.6687 0.0038 0.6588
Sm 0.3567 0.5965 0.6902
Sm 0.0000 0.0000 0.0000
Sm 0.6433 0.4035 0.3098
Au 0.2998 0.3372 0.0633
Au 0.7002 0.6628 0.9367
Au 0.0671 0.2600 0.6059
Au 0.9329 0.7400 0.3941

***

The energy of each structure relative to the most stable one, in meV/atom, is as follows: arrangement one 7; arrangement two 0.

***

Arrangement one

Material: Li4Sm3Au4
Method: DFT, PBE
State: relaxed

Results
Space group   Immm (71)
N(E_F)   7.37 states/eV/f.u.

Cell lengths 4.1216, 7.8590, 8.4854 Å; angles 117.59, 104.06, 90.00 degrees
Element x y z (fractional)
Li 0.3234 0.1300 0.6467
Li 0.6766 0.4832 0.3533
Li 0.6766 0.8700 0.3533
Li 0.3234 0.5168 0.6467
Sm 0.1217 0.1217 0.2434
Sm 0.8783 0.8783 0.7566
Sm 0.0000 0.5000 0.0000
Au 0.2203 0.7203 0.4406
Au 0.7797 0.2797 0.5594
Au 0.5000 0.8035 0.0000
Au 0.5000 0.1965 0.0000

***

Arrangement two

Material: Li4Sm3Au4
Method: DFT, PBE
State: relaxed

Results
Space group   P-1 (2)
N(E_F)   6.70 states/eV/f.u.

Cell lengths 3.7931, 4.3144, 14.6666 Å; angles 81.33, 82.50, 89.97 degrees
Element x y z (fractional)
Li 0.5943 0.0947 0.8111
Li 0.2522 0.2513 0.4960
Li 0.7478 0.7488 0.5040
Li 0.4057 0.9053 0.1889
Sm 0.1435 0.6444 0.7126
Sm 0.8565 0.3557 0.2874
Sm 0.0000 0.0000 0.0000
Au 0.5508 0.5505 0.8987
Au 0.4492 0.4495 0.1014
Au 0.3153 0.8138 0.3698
Au 0.6847 0.1862 0.6301

***

The energy of each structure relative to the most stable one, in meV/atom, is as follows: arrangement one 0; arrangement two 28.

***

Arrangement one

Material: Li4SnAu
Method: DFT, PBE
State: relaxed

Results
Space group   Pm (6)
N(E_F)   1.67 states/eV/f.u.

Cell lengths 3.1053, 4.6285, 7.3792 Å; angles 90.02, 102.26, 90.01 degrees
Element x y z (fractional)
Li 0.2690 0.0028 0.7808
Li 0.9535 0.0030 0.1505
Li 0.0653 0.5024 0.3759
Li 0.7231 0.5025 0.6961
Sn 0.3917 0.5031 0.0310
Au 0.6163 0.0024 0.4768

***

Arrangement two

Material: Li4SnAu
Method: DFT, PBE
State: relaxed

Results
Space group   C2/m (12)
N(E_F)   1.67 states/eV/f.u.

Cell lengths 5.2495, 6.6634, 7.9279 Å; angles 114.85, 109.69, 90.00 degrees
Element x y z (fractional)
Li 0.1808 0.6812 0.3624
Li 0.3656 0.1052 0.7340
Li 0.0000 0.1774 0.0000
Li 0.6344 0.3711 0.2660
Li 0.8192 0.3188 0.6376
Li 0.6344 0.8948 0.2660
Li 0.0000 0.8226 0.0000
Li 0.3656 0.6289 0.7340
Sn 0.8058 0.8058 0.6116
Sn 0.1942 0.1942 0.3884
Au 0.2531 0.5003 0.0007
Au 0.7469 0.4997 0.9993

***

The energy of each structure relative to the most stable one, in meV/atom, is as follows: arrangement one 0; arrangement two 42.